# Cs3Tl2Cl9

A geometry-optimized Cs3Tl2Cl9 structure (PBE, Alexandria via LeMat-Bulk).

abc: 9.9431 9.9431 9.9431
angles: 82.35 82.35 82.35
Sites, in units of the cell vectors:
Cl 0.5955 0.9045 0.7500
Cs 0.7500 0.0882 0.4118
Cs 0.9118 0.5882 0.2500
Cl 0.7500 0.5955 0.9045
Cs 0.2500 0.9118 0.5882
Cl 0.5904 0.7679 0.4215
Tl 0.6519 0.6519 0.6519
Cl 0.2500 0.4045 0.0955
Tl 0.3481 0.3481 0.3481
Cl 0.7679 0.4215 0.5904
Cl 0.9045 0.7500 0.5955
Cl 0.2321 0.5785 0.4096
Cl 0.0785 0.7321 0.9096
Cl 0.9096 0.0785 0.7321
Cl 0.0904 0.9215 0.2679
Cl 0.4045 0.0955 0.2500
Cl 0.9215 0.2679 0.0904
Tl 0.1519 0.1519 0.1519
Cl 0.0955 0.2500 0.4045
Cs 0.4118 0.7500 0.0882
Cs 0.0882 0.4118 0.7500
Cs 0.5882 0.2500 0.9118
Cl 0.5785 0.4096 0.2321
Cl 0.2679 0.0904 0.9215
Cl 0.7321 0.9096 0.0785
Cl 0.4096 0.2321 0.5785
Tl 0.8481 0.8481 0.8481
Cl 0.4215 0.5904 0.7679

energy relative to the elements, uncorrected	-1.306	eV/atom
uncorrected energy	-3.014	eV per atom